Entry 1:
DFT (PBE) results for a geometry-optimized Sc2Cu2Ag structure.

Polymorph energy (0 for the lowest one)   1.26 eV per formula unit
ΔH_f (0 K)   0.01 eV per atom
SG   P4/mbm

Cell lengths 7.744, 7.744, 3.048 Å; angles 90.00, 90.00, 90.00 degrees
Element x y z (fractional)
Sc (0.343, 0.843, 0.000)
Sc (0.843, 0.657, 0.000)
Sc (0.657, 0.157, 0.000)
Sc (0.157, 0.343, 0.000)
Cu (0.133, 0.633, 0.500)
Cu (0.633, 0.867, 0.500)
Cu (0.867, 0.367, 0.500)
Cu (0.367, 0.133, 0.500)
Ag (0.000, 0.000, 0.000)
Ag (0.500, 0.500, 0.000)

=====

Entry 2:
DFT (PBE) results for a geometry-optimized AcZrPd structure.

Polymorph energy (0 for the lowest one)   0.40 eV per formula unit
ΔH_f (0 K)   -0.28 eV per atom
SG   I4mm

Cell lengths 3.585, 3.585, 6.669 Å; angles 105.59, 105.59, 90.00 degrees
Element x y z (fractional)
Ac (0.006, 0.006, 0.011)
Zr (0.296, 0.296, 0.591)
Pd (0.699, 0.699, 0.397)

=====

Entry 3:
DFT (PBE) results for a geometry-optimized PmHo2Au structure.

Polymorph energy (0 for the lowest one)   0.59 eV per formula unit
ΔH_f (0 K)   -0.29 eV per atom
SG   R-3m

Cell lengths 3.710, 3.710, 10.215 Å; angles 79.54, 79.54, 60.00 degrees
Element x y z (fractional)
Au (0.000, 0.000, 0.000)
Ho (0.265, 0.265, 0.205)
Ho (0.735, 0.735, 0.795)
Pm (0.500, 0.500, 0.500)

=====

Entry 4:
DFT (PBE) results for a geometry-optimized Sr3YAl8 structure.

ΔH_f (0 K)   -0.30 eV per atom
SG   R3m

Cell lengths 5.768, 5.768, 10.033 Å; angles 73.29, 73.29, 60.00 degrees
Element x y z (fractional)
Sr (0.375, 0.375, 0.875)
Sr (0.000, 0.000, 0.000)
Sr (0.500, 0.500, 0.500)
Y (0.875, 0.875, 0.376)
Al (0.934, 0.436, 0.194)
Al (0.443, 0.938, 0.681)
Al (0.436, 0.436, 0.194)
Al (0.938, 0.938, 0.681)
Al (0.188, 0.188, 0.437)
Al (0.688, 0.688, 0.937)
Al (0.436, 0.934, 0.194)
Al (0.938, 0.443, 0.681)

=====

Entry 5:
DFT (PBE) results for a geometry-optimized ZnAuCl structure.

Polymorph energy (0 for the lowest one)   0.53 eV per formula unit
Formation energy from raw total energies   -0.36 eV per atom
SG   P3m1

Cell lengths 3.456, 3.456, 6.030 Å; angles 90.00, 90.00, 120.00 degrees
Element x y z (fractional)
Au (0.000, 0.000, 0.936)
Cl (0.667, 0.333, 0.406)
Zn (0.333, 0.667, 0.658)

=====

Entry 6:
DFT (PBE) results for a geometry-optimized TlHg2S4 structure.

Formation energy from raw total energies   0.15 eV per atom
SG   Cmcm

Cell lengths 3.935, 6.909, 12.090 Å; angles 90.00, 90.00, 106.55 degrees
Element x y z (fractional)
Tl (0.603, 0.206, 0.750)
Tl (0.397, 0.794, 0.250)
Hg (0.134, 0.267, 0.435)
Hg (0.866, 0.733, 0.935)
Hg (0.134, 0.267, 0.065)
Hg (0.866, 0.733, 0.565)
S (0.783, 0.566, 0.123)
S (0.783, 0.566, 0.377)
S (0.217, 0.434, 0.877)
S (0.217, 0.434, 0.623)
S (0.955, 0.910, 0.750)
S (0.045, 0.090, 0.250)
S (0.500, 0.000, 0.000)
S (0.500, 0.000, 0.500)

=====

Entry 7:
DFT (PBE) results for a geometry-optimized CoSb2 structure.

Formation energy from raw total energies   0.34 eV per atom
SG   P6_3/mmc

Cell lengths 4.263, 4.263, 8.373 Å; angles 90.00, 90.00, 120.00 degrees
Element x y z (fractional)
Co (0.667, 0.333, 0.250)
Co (0.333, 0.667, 0.750)
Sb (0.000, 0.000, 0.000)
Sb (0.000, 0.000, 0.500)
Sb (0.333, 0.667, 0.250)
Sb (0.667, 0.333, 0.750)

=====

Entry 8:
DFT (PBE) results for a geometry-optimized LiPm2Cu structure.

Polymorph energy (0 for the lowest one)   0.99 eV per formula unit
ΔH_f (0 K)   0.22 eV per atom
SG   R-3m

Cell lengths 3.486, 3.486, 11.136 Å; angles 81.00, 81.00, 60.00 degrees
Element x y z (fractional)
Li (0.000, 0.000, 0.000)
Cu (0.500, 0.500, 0.500)
Pm (0.102, 0.102, 0.694)
Pm (0.898, 0.898, 0.306)

=====

Asked for total magnetic moment across the records above, the calculation gives 0.0 0.0 0.0 0.0 0.0 0.0 0.0 0.0 μB/cell in order.
Asked for E_tot across the records above, the calculation gives -0.174 -0.229 -0.168 -0.138 -0.091 -0.097 -0.175 -0.134 Ha/atom in order.